1.
SmAuSeO | PBE-GGA | optimized geometry

The crystal system is orthorhombic. As for the magnetic moment: 0.00 μB/f.u.

The space group is Pba2 (No. 32) and the conventional cell measures 5.7264, 5.7399 and 9.5759 Å, with angles of 90.00, 90.00 and 90.00 degrees. Symmetry generates all atoms from Sm at (0.0000, 0.0000, 0.0000), Sm at (0.0000, 0.5000, 0.2389), Au at (0.2504, 0.0043, 0.6189), Se at (0.0000, 0.0000, 0.4012), Se at (0.0000, 0.5000, 0.8373) and O at (0.2501, 0.2495, 0.1195).

***

2.
SmAuSeO | PBE-GGA | optimized geometry

The crystal system is orthorhombic. As for the magnetic moment: 0.00 μB/f.u.

The space group is Pbcm (No. 57) and the conventional cell measures 9.4698, 5.6751 and 5.6752 Å, with angles of 90.00, 90.00 and 90.00 degrees. Symmetry generates all atoms from Sm at (0.1231, 0.0011, 0.2500), Au at (0.4940, 0.2500, 0.0000), Se at (0.2879, 0.5030, 0.2500) and O at (0.9997, 0.2500, 0.0000).

***

3.
SmAuSeO | PBE-GGA | optimized geometry

The crystal system is tetragonal. As for the magnetic moment: 0.00 μB/f.u.

The space group is P4bm (No. 100) and the conventional cell measures 5.6705, 5.6705 and 9.5277 Å, with angles of 90.00, 90.00 and 90.00 degrees. Symmetry generates all atoms from Sm at (0.0000, 0.0000, 0.0000), Sm at (0.0000, 0.5000, 0.2448), Au at (0.1808, 0.3192, 0.6122), Se at (0.0000, 0.0000, 0.4141), Se at (0.0000, 0.5000, 0.8415) and O at (0.2486, 0.2514, 0.1242).

***

4.
TbAuSeO | PBE-GGA | optimized geometry

The crystal system is orthorhombic. As for the magnetic moment: 0.00 μB/f.u.

The space group is Aem2 (No. 39) and the conventional cell measures 9.5878, 5.6309 and 5.6513 Å, with angles of 90.00, 90.00 and 90.00 degrees. Symmetry generates all atoms from Tb at (0.1156, 0.2500, 0.0000), Au at (0.5000, 0.0000, 0.0009), Se at (0.2789, 0.2500, 0.5008) and O at (0.0000, 0.0000, 0.2500).

***

5.
TbAuSeO | PBE-GGA | optimized geometry

The crystal system is tetragonal. As for the magnetic moment: 0.00 μB/f.u.

The space group is P4mm (No. 99) and the conventional cell measures 3.9536, 3.9536 and 9.4779 Å, with angles of 90.00, 90.00 and 90.00 degrees. Symmetry generates all atoms from Tb at (0.0000, 0.0000, 0.0000), Tb at (0.5000, 0.5000, 0.2371), Au at (0.0000, 0.5000, 0.6194), Se at (0.0000, 0.0000, 0.4026), Se at (0.5000, 0.5000, 0.8356) and O at (0.0000, 0.5000, 0.1184).

***

6.
TbAuSeO | PBE-GGA | optimized geometry

The crystal system is monoclinic. As for the magnetic moment: 0.00 μB/f.u.

The space group is P2_1/c (No. 14) and the conventional cell measures 7.3307, 6.2470 and 6.1985 Å, with angles of 90.00, 90.24 and 90.00 degrees. Symmetry generates all atoms from Tb at (0.1064, 0.0061, 0.2508), Au at (0.4273, 0.2079, 0.5099), Se at (0.3036, 0.5346, 0.3012) and O at (0.0046, 0.7405, 0.9996).

***

Calculated raw total energy in order - -5.995; -5.910; -5.939; -5.994; -5.912; -5.763 eV per atom